This record from the Alexandria database describes an optimized crystal structure of Ag2Se. The functional is PBE.

The value obtained for the final energy is -9.03 eV per formula unit. For the formation energy from raw total energies, the calculation gives 0.054 eV per atom.

It has space group I4/mcm (No. 140), with a = 5.7810 Å, b = 5.7810 Å, c = 7.6437 Å, α = 90.00°, β = 90.00° and γ = 90.00°. Symmetry generates all atoms from Ag at (0.1949, 0.3051, 0.0000) and Se at (0.0000, 0.0000, 0.2500).

***

This record from the Alexandria database describes an optimized crystal structure of HfScNi3. The functional is PBE.

The value obtained for the final energy is -30.80 eV per formula unit. Its formation energy from the elements is 566 meV per atom.

It has space group Pm-3m (No. 221), with a = 4.3939 Å, b = 4.3939 Å, c = 4.3939 Å, α = 90.00°, β = 90.00° and γ = 90.00°. Symmetry generates all atoms from Hf at (0.0000, 0.0000, 0.0000), Sc at (0.5000, 0.5000, 0.5000) and Ni at (0.0000, 0.5000, 0.5000).

***

This record from the Alexandria database describes an optimized crystal structure of Li2SmAlGe2. The functional is PBE.

The value obtained for the final energy is -24.59 eV per formula unit. Its formation energy from the elements is -512 meV per atom.

It has space group Pmc2_1 (No. 26), with a = 4.2003 Å, b = 7.9323 Å, c = 7.2368 Å, α = 90.00°, β = 90.00° and γ = 90.00°. Symmetry generates all atoms from Li at (0.0000, 0.0712, 0.0000), Li at (0.5000, 0.1693, 0.3258), Sm at (0.5000, 0.4259, 0.9510), Al at (0.0000, 0.3050, 0.6099), Ge at (0.0000, 0.3696, 0.2423) and Ge at (0.5000, 0.1385, 0.6925).

***

This record from the Alexandria database describes an optimized crystal structure of SrLiPb. The functional is PBE.

The value obtained for the final energy is -6.95 eV per formula unit. Its formation energy from the elements is 118 meV per atom.

It has space group F-43m (No. 216), with a = 7.7100 Å, b = 7.7100 Å, c = 7.7100 Å, α = 90.00°, β = 90.00° and γ = 90.00°. Symmetry generates all atoms from Sr at (0.0000, 0.0000, 0.0000), Li at (0.2500, 0.2500, 0.7500) and Pb at (0.2500, 0.2500, 0.2500).

***

This record from the Alexandria database describes an optimized crystal structure of NiAs. The functional is PBE.

The value obtained for the final energy is -10.64 eV per formula unit. Its formation energy from the elements is -105 meV per atom.

It has space group P4/nmm (No. 129, origin choice 2), with a = 3.0915 Å, b = 3.0915 Å, c = 6.5944 Å, α = 90.00°, β = 90.00° and γ = 90.00°. Symmetry generates all atoms from Ni at (0.2500, 0.2500, 0.1074) and As at (0.2500, 0.2500, 0.7249).

***

This record from the Alexandria database describes an optimized crystal structure of BeAg2Cl. The functional is PBE.

The value obtained for the final energy is -9.05 eV per formula unit. For the formation energy from raw total energies, the calculation gives 0.556 eV per atom.

It has space group Fm-3m (No. 225), with a = 6.6139 Å, b = 6.6139 Å, c = 6.6139 Å, α = 90.00°, β = 90.00° and γ = 90.00°. Symmetry generates all atoms from Be at (0.0000, 0.0000, 0.0000), Ag at (0.2500, 0.2500, 0.2500) and Cl at (0.0000, 0.0000, 0.5000).

***

This record from the Alexandria database describes an optimized crystal structure of CePu3Th2N6. The functional is PBE.

The value obtained for the final energy is -130.51 eV per formula unit. For the formation energy from raw total energies, the calculation gives -1.399 eV per atom.

It has space group C2/m (No. 12), with a = 6.1875 Å, b = 10.7115 Å, c = 6.1528 Å, α = 90.00°, β = 109.57° and γ = 90.00°. Symmetry generates all atoms from Ce at (0.0000, 0.0000, 0.0000), Pu at (0.0000, 0.1653, 0.5000), Pu at (0.0000, 0.5000, 0.5000), Th at (0.0000, 0.3332, 0.0000), N at (0.2461, 0.3333, 0.7389) and N at (0.2466, 0.0000, 0.7394).

***

This record from the Alexandria database describes an optimized crystal structure of CsLaSe2N. The functional is PBE.

The value obtained for the final energy is -23.23 eV per formula unit. For the formation energy from raw total energies, the calculation gives -0.431 eV per atom.

It has space group P4/mmm (No. 123), with a = 5.5396 Å, b = 5.5396 Å, c = 4.5125 Å, α = 90.00°, β = 90.00° and γ = 90.00°. Symmetry generates all atoms from Cs at (0.0000, 0.0000, 0.0000), La at (0.5000, 0.5000, 0.0000), Se at (0.0000, 0.5000, 0.5000) and N at (0.5000, 0.5000, 0.5000).

***

This record from the Alexandria database describes an optimized crystal structure of TeSe2NCl. The functional is PBE.

The value obtained for the final energy is -14.78 eV per formula unit. For the formation energy from raw total energies, the calculation gives 1.101 eV per atom.

It has space group P4/mmm (No. 123), with a = 5.5997 Å, b = 5.5997 Å, c = 4.0186 Å, α = 90.00°, β = 90.00° and γ = 90.00°. Symmetry generates all atoms from Te at (0.0000, 0.0000, 0.0000), Se at (0.0000, 0.5000, 0.0000), N at (0.0000, 0.0000, 0.5000) and Cl at (0.5000, 0.5000, 0.5000).

***

This record from the Alexandria database describes an optimized crystal structure of VAuBr2. The functional is PBE.

The value obtained for the final energy is -16.12 eV per formula unit. For the formation energy from raw total energies, the calculation gives -0.095 eV per atom.

It has space group I-42d (No. 122), with a = 9.0191 Å, b = 9.0191 Å, c = 5.3453 Å, α = 90.00°, β = 90.00° and γ = 90.00°. Symmetry generates all atoms from V at (0.0000, 0.0000, 0.0000), Au at (0.0000, 0.0000, 0.5000) and Br at (0.1014, 0.2500, 0.1250).

***

This record from the Alexandria database describes an optimized crystal structure of AcPuSc. The functional is PBE.

The value obtained for the final energy is -24.14 eV per formula unit. Its formation energy from the elements is 210 meV per atom.

It has space group I4mm (No. 107), with a = 3.7830 Å, b = 3.7830 Å, c = 13.2620 Å, α = 90.00°, β = 90.00° and γ = 90.00°. Symmetry generates all atoms from Ac at (0.0000, 0.0000, 0.0000), Pu at (0.0000, 0.0000, 0.3119) and Sc at (0.0000, 0.0000, 0.6765).

***

This record from the Alexandria database describes an optimized crystal structure of Al2InF. The functional is PBE.

The value obtained for the final energy is -14.25 eV per formula unit. For the formation energy from raw total energies, the calculation gives -0.538 eV per atom.

It has space group I-42d (No. 122), with a = 4.9953 Å, b = 4.9953 Å, c = 13.3890 Å, α = 90.00°, β = 90.00° and γ = 90.00°. Symmetry generates all atoms from Al at (0.1123, 0.2500, 0.1250), In at (0.0000, 0.0000, 0.5000) and F at (0.0000, 0.0000, 0.0000).